*one*
This record from Alexandria via LeMat-Bulk describes a relaxed structure of LiAgSnHg. The functional is PBE-GGA.

abc: 6.936 6.936 6.936
angles: 90.00 90.00 90.00
Space group F-43m (No. 216)
Symmetry-distinct sites (fractional):
Li1 0.000 0.000 0.000 (multiplicity 4)
Ag1 0.250 0.250 0.750 (multiplicity 4)
Sn1 0.000 0.000 0.500 (multiplicity 4)
Hg1 0.250 0.250 0.250 (multiplicity 4)

*two*
This record from Alexandria via LeMat-Bulk describes a relaxed structure of LiAgSnHg. The functional is PBE-GGA.

abc: 9.289 4.476 4.480
angles: 90.00 118.09 90.00
Space group Cm (No. 8)
Symmetry-distinct sites (fractional):
Li1 0.000 0.000 0.000 (multiplicity 2)
Ag1 0.250 0.000 0.751 (multiplicity 2)
Sn1 0.000 0.500 0.500 (multiplicity 2)
Hg1 0.250 0.500 0.246 (multiplicity 2)

Which is most stable, and by how much? *two*, by 0.017 eV/atom.

*one*
This record from Alexandria via LeMat-Bulk describes a relaxed structure of SrLiAgHg2. The functional is PBE-GGA.

abc: 5.050 5.050 4.945
angles: 90.00 90.00 90.00
Space group P4/mmm (No. 123)
Symmetry-distinct sites (fractional):
Sr1 0.000 0.000 0.000 (multiplicity 1)
Li1 0.500 0.500 0.500 (multiplicity 1)
Ag1 0.500 0.500 0.000 (multiplicity 1)
Hg1 0.000 0.500 0.500 (multiplicity 2)

*two*
This record from Alexandria via LeMat-Bulk describes a relaxed structure of SrLiAgHg2. The functional is PBE-GGA.

abc: 4.290 4.290 13.747
angles: 90.00 90.00 90.00
Space group I-4m2 (No. 119)
Symmetry-distinct sites (fractional):
Sr1 0.000 0.000 0.000 (multiplicity 2)
Li1 0.000 0.500 0.250 (multiplicity 2)
Ag1 0.000 0.500 0.750 (multiplicity 2)
Hg1 0.000 0.000 0.388 (multiplicity 4)

Which is most stable, and by how much? *two*, by 0.094 eV/atom.

*one*
This record from Alexandria via LeMat-Bulk describes a relaxed structure of Mg3Ag3Hg. The functional is PBE-GGA.

abc: 9.605 9.670 6.117
angles: 90.00 90.01 90.00
Space group C2/m (No. 12)
Symmetry-distinct sites (fractional):
Mg1 0.007 0.000 0.252 (multiplicity 4)
Mg2 0.249 0.248 0.748 (multiplicity 8)
Ag1 0.000 0.250 0.000 (multiplicity 4)
Ag2 0.000 0.261 0.500 (multiplicity 4)
Ag3 0.201 0.500 0.501 (multiplicity 4)
Hg1 0.183 0.500 0.999 (multiplicity 4)

*two*
This record from Alexandria via LeMat-Bulk describes a relaxed structure of Mg3Ag3Hg. The functional is PBE-GGA.

abc: 8.0208 8.0208 4.8360
angles: 90.00 90.00 120.00
Space group P6_3/m (No. 176)
Symmetry-distinct sites (fractional):
Mg1 0.0910 0.4513 0.2500 (multiplicity 6)
Ag1 0.0439 0.2331 0.7500 (multiplicity 6)
Hg1 0.3333 0.6667 0.7500 (multiplicity 2)

Which is most stable, and by how much? *two*, by 0.058 eV/atom.

*one*
This record from Alexandria via LeMat-Bulk describes a relaxed structure of MgAg3Hg. The functional is PBE-GGA.

abc: 4.605 5.772 7.748
angles: 90.00 90.00 90.00
Space group Pmmn (No. 59, origin choice 2)
Symmetry-distinct sites (fractional):
Mg1 0.250 0.250 0.131 (multiplicity 2)
Ag1 0.250 0.006 0.761 (multiplicity 4)
Ag2 0.250 0.750 0.082 (multiplicity 2)
Hg1 0.250 0.750 0.446 (multiplicity 2)

*two*
This record from Alexandria via LeMat-Bulk describes a relaxed structure of MgAg3Hg. The functional is PBE-GGA.

abc: 5.042 5.042 5.042
angles: 90.00 90.00 90.00
Space group Pm-3m (No. 221)
Symmetry-distinct sites (fractional):
Mg1 0.000 0.000 0.000 (multiplicity 1)
Ag1 0.000 0.000 0.500 (multiplicity 3)
Hg1 0.500 0.500 0.500 (multiplicity 1)

Which is most stable, and by how much? *one*, by 0.582 eV/atom.